Here is a geometry-optimized DyFe2F8 structure from the Alexandria database. Energies are from PBE with a Hubbard U.

Cell lengths 5.482, 5.482, 5.293 Å; angles 100.74, 100.74, 74.01 degrees
Positions (direct):
Dy 0.000 0.000 0.000
Fe 0.330 0.330 0.558
Fe 0.670 0.670 0.442
F 0.054 0.658 0.696
F 0.177 0.177 0.780
F 0.342 0.946 0.304
F 0.434 0.434 0.262
F 0.566 0.566 0.738
F 0.658 0.054 0.696
F 0.823 0.823 0.220
F 0.946 0.342 0.304

***

Here is a geometry-optimized DyFeF5 structure from the Alexandria database. Energies are from PBE with a Hubbard U.

Cell lengths 5.696, 5.696, 7.614 Å; angles 109.04, 109.04, 74.03 degrees
Positions (direct):
Dy 0.051 0.949 0.750
Dy 0.949 0.051 0.250
Fe 0.500 0.500 0.000
Fe 0.500 0.500 0.500
F 0.173 0.809 0.036
F 0.191 0.827 0.464
F 0.234 0.285 0.374
F 0.285 0.234 0.874
F 0.377 0.623 0.750
F 0.623 0.377 0.250
F 0.715 0.766 0.126
F 0.766 0.715 0.626
F 0.809 0.173 0.536
F 0.827 0.191 0.964

***

Here is a geometry-optimized Dy2FeF8 structure from the Alexandria database. Energies are from PBE with a Hubbard U.

Cell lengths 7.612, 7.612, 5.367 Å; angles 109.02, 109.02, 27.23 degrees
Positions (direct):
Dy 0.175 0.175 0.184
Dy 0.825 0.825 0.816
Fe 0.500 0.500 0.500
F 0.044 0.044 0.337
F 0.221 0.221 0.828
F 0.320 0.320 0.539
F 0.407 0.407 0.071
F 0.593 0.593 0.929
F 0.680 0.680 0.461
F 0.779 0.779 0.172
F 0.956 0.956 0.663

***

Here is a geometry-optimized DyFe4F12 structure from the Alexandria database. Energies are from PBE with a Hubbard U.

Cell lengths 6.911, 6.911, 6.911 Å; angles 107.87, 107.87, 112.72 degrees
Positions (direct):
Dy 0.000 0.000 0.000
Fe 0.000 0.000 0.500
Fe 0.000 0.500 0.000
Fe 0.500 0.000 0.000
Fe 0.500 0.500 0.500
F 0.046 0.819 0.227
F 0.181 0.409 0.227
F 0.181 0.954 0.773
F 0.293 0.293 0.586
F 0.293 0.707 0.000
F 0.409 0.181 0.227
F 0.591 0.819 0.773
F 0.707 0.293 0.000
F 0.707 0.707 0.414
F 0.819 0.046 0.227
F 0.819 0.591 0.773
F 0.954 0.181 0.773

***

Here is a geometry-optimized KDyFeF6 structure from the Alexandria database. Energies are from PBE with a Hubbard U.

Cell lengths 5.766, 5.766, 5.588 Å; angles 90.08, 90.08, 118.95 degrees
Positions (direct):
K 0.000 0.000 0.000
Dy 0.667 0.333 0.500
Fe 0.330 0.670 0.500
F 0.008 0.378 0.707
F 0.009 0.624 0.293
F 0.363 0.378 0.297
F 0.376 0.991 0.707
F 0.622 0.637 0.703
F 0.622 0.992 0.293

***

Here is a geometry-optimized NaDyFeF6 structure from the Alexandria database. Energies are from PBE with a Hubbard U.

Cell lengths 5.712, 5.712, 9.601 Å; angles 90.00, 90.00, 120.00 degrees
Positions (direct):
Na 0.000 0.000 0.000
Na 0.000 0.000 0.500
Dy 0.333 0.667 0.250
Dy 0.667 0.333 0.750
Fe 0.333 0.667 0.750
Fe 0.667 0.333 0.250
F 0.012 0.359 0.635
F 0.012 0.653 0.865
F 0.347 0.359 0.865
F 0.347 0.988 0.635
F 0.359 0.012 0.135
F 0.359 0.347 0.365
F 0.641 0.653 0.635
F 0.641 0.988 0.865
F 0.653 0.012 0.365
F 0.653 0.641 0.135
F 0.988 0.347 0.135
F 0.988 0.641 0.365

***

The E_tot results, record by record, are as follows: -63.3; -87.0; -69.6; -96.9; -52.0; -101.5 eV per cell.